# NbCuNi6 (PBE, optimized geometry)
# Calculated formation energy = -104 meV per atom
# Electronic total energy = -49.69 eV for the cell shown
# Size of the total moment = 0.00 μB per atom
data_NbCuNi6
_chemical_formula_sum 'Nb1 Cu1 Ni6'
_space_group_name_H-M_alt 'P -6 m 2'
_space_group_IT_number 187
_space_group_name_Hall 'P -6 2'
_cell_length_a 5.1487
_cell_length_b 5.1487
_cell_length_c 4.1177
_cell_angle_alpha 90.00
_cell_angle_beta 90.00
_cell_angle_gamma 120.00
loop_
_atom_site_label
_atom_site_type_symbol
_atom_site_fract_x
_atom_site_fract_y
_atom_site_fract_z
Nb1 Nb 0.0000 0.0000 0.0000
Cu1 Cu 0.6667 0.3333 0.5000
Ni1 Ni 0.9997 0.4998 0.0000
Ni2 Ni 0.1725 0.3450 0.5000

# Li2DyPt2 (PBE, optimized geometry)
# Calculated formation energy = -740 meV per atom
# Electronic total energy = -48.42 eV for the cell shown
# Size of the total moment = 0.00 μB per atom
data_Li2DyPt2
_chemical_formula_sum 'Li4 Dy2 Pt4'
_space_group_name_H-M_alt 'C 1 2/m 1'
_space_group_IT_number 12
_cell_length_a 7.8407
_cell_length_b 4.5592
_cell_length_c 5.2103
_cell_angle_alpha 90.00
_cell_angle_beta 119.22
_cell_angle_gamma 90.00
loop_
_space_group_symop_operation_xyz
'x,y,z'
'-x,-y,-z'
'-x,y,-z'
'x,-y,z'
'x+1/2,y+1/2,z'
'-x+1/2,-y+1/2,-z'
'-x+1/2,y+1/2,-z'
'x+1/2,-y+1/2,z'
loop_
_atom_site_label
_atom_site_type_symbol
_atom_site_fract_x
_atom_site_fract_y
_atom_site_fract_z
Li1 Li 0.0853 0.0000 0.2488
Dy1 Dy 0.0000 0.5000 0.5000
Pt1 Pt 0.2188 0.5000 0.1508